# YNi2Br | Alexandria via LeMat-Bulk | PBE | relaxed
# Raw formation energy: -67 kJ/mol of formula units
# Symmetry: P4/mmm
data_YNi2Br
_cell_length_a 3.653
_cell_length_b 3.651
_cell_length_c 5.779
_cell_angle_alpha 90.00
_cell_angle_beta 90.00
_cell_angle_gamma 90.00
_space_group_name_H-M_alt 'P 1'
_space_group_IT_number 1
_space_group_name_Hall 'P 1'
loop_
_atom_site_label
_atom_site_type_symbol
_atom_site_fract_x
_atom_site_fract_y
_atom_site_fract_z
Ni1 Ni 0.000 0.000 0.457
Ni2 Ni 0.000 0.000 0.043
Y1 Y 0.500 0.500 0.250
Br1 Br 0.500 0.500 0.750



# Nd8Ir3SeBr4 | Alexandria via LeMat-Bulk | PBE | relaxed
# Raw formation energy: -1819 kJ/mol of formula units
# Symmetry: R-3m
data_Nd8Ir3SeBr4
_cell_length_a 8.473
_cell_length_b 9.091
_cell_length_c 8.474
_cell_angle_alpha 117.81
_cell_angle_beta 120.00
_cell_angle_gamma 90.00
_space_group_name_H-M_alt 'P 1'
_space_group_IT_number 1
_space_group_name_Hall 'P 1'
loop_
_atom_site_label
_atom_site_type_symbol
_atom_site_fract_x
_atom_site_fract_y
_atom_site_fract_z
Br1 Br 0.500 0.000 0.000
Br2 Br 0.500 0.000 0.500
Br3 Br 0.000 0.000 0.000
Br4 Br 0.000 0.000 0.500
Se1 Se 0.000 0.500 0.000
Nd1 Nd 0.757 0.300 0.043
Nd2 Nd 0.731 0.694 0.463
Nd3 Nd 0.757 0.300 0.514
Nd4 Nd 0.269 0.306 0.537
Nd5 Nd 0.286 0.300 0.043
Nd6 Nd 0.714 0.700 0.957
Nd7 Nd 0.243 0.700 0.957
Nd8 Nd 0.243 0.700 0.486
Ir1 Ir 0.500 0.500 0.500
Ir2 Ir 0.500 0.500 0.000
Ir3 Ir 0.000 0.500 0.500



# ErCd2In | Alexandria via LeMat-Bulk | PBE | relaxed
# Electronic total energy: -1.84 eV/atom
# Symmetry: P-6m2
data_ErCd2In
_cell_length_a 5.801
_cell_length_b 5.069
_cell_length_c 5.069
_cell_angle_alpha 60.00
_cell_angle_beta 90.00
_cell_angle_gamma 90.00
_space_group_name_H-M_alt 'P 1'
_space_group_IT_number 1
_space_group_name_Hall 'P 1'
loop_
_atom_site_label
_atom_site_type_symbol
_atom_site_fract_x
_atom_site_fract_y
_atom_site_fract_z
Er1 Er 0.000 0.000 0.000
Cd1 Cd 0.500 0.000 0.000
Cd2 Cd 0.500 0.333 0.333
In1 In 0.500 0.667 0.667



# Pd3AuCl | Alexandria via LeMat-Bulk | PBE | relaxed
# Raw formation energy: 458 kJ/mol of formula units
# Symmetry: Pm-3m
data_Pd3AuCl
_cell_length_a 5.021
_cell_length_b 5.021
_cell_length_c 5.021
_cell_angle_alpha 90.00
_cell_angle_beta 90.00
_cell_angle_gamma 90.00
_space_group_name_H-M_alt 'P 1'
_space_group_IT_number 1
_space_group_name_Hall 'P 1'
loop_
_atom_site_label
_atom_site_type_symbol
_atom_site_fract_x
_atom_site_fract_y
_atom_site_fract_z
Au1 Au 0.000 0.000 0.000
Pd1 Pd 0.000 0.000 0.500
Pd2 Pd 0.000 0.500 0.000
Pd3 Pd 0.500 0.000 0.000
Cl1 Cl 0.500 0.500 0.500



# Ag5Pd3I12 | Alexandria via LeMat-Bulk | PBE | relaxed
# Raw formation energy: -144 kJ/mol of formula units
# Symmetry: Ia-3d
data_Ag5Pd3I12
_cell_length_a 15.457
_cell_length_b 15.457
_cell_length_c 15.457
_cell_angle_alpha 109.47
_cell_angle_beta 109.47
_cell_angle_gamma 109.47
_space_group_name_H-M_alt 'P 1'
_space_group_IT_number 1
_space_group_name_Hall 'P 1'
loop_
_atom_site_label
_atom_site_type_symbol
_atom_site_fract_x
_atom_site_fract_y
_atom_site_fract_z
I1 I 0.887 0.356 0.065
I2 I 0.113 0.469 0.678
I3 I 0.209 0.065 0.178
I4 I 0.565 0.387 0.356
I5 I 0.113 0.644 0.935
I6 I 0.031 0.322 0.387
I7 I 0.209 0.144 0.531
I8 I 0.565 0.178 0.709
I9 I 0.644 0.531 0.709
I10 I 0.435 0.822 0.291
I11 I 0.856 0.791 0.969
I12 I 0.291 0.969 0.356
I13 I 0.822 0.435 0.791
I14 I 0.531 0.644 0.209
I15 I 0.065 0.209 0.678
I16 I 0.322 0.291 0.935
I17 I 0.709 0.031 0.644
I18 I 0.856 0.065 0.387
I19 I 0.178 0.613 0.469
I20 I 0.178 0.565 0.209
I21 I 0.322 0.031 0.887
I22 I 0.144 0.935 0.613
I23 I 0.469 0.113 0.178
I24 I 0.387 0.565 0.856
I25 I 0.678 0.969 0.113
I26 I 0.613 0.178 0.969
I27 I 0.387 0.822 0.031
I28 I 0.969 0.678 0.613
I29 I 0.356 0.469 0.291
I30 I 0.291 0.322 0.435
I31 I 0.709 0.678 0.565
I32 I 0.065 0.856 0.887
I33 I 0.822 0.387 0.531
I34 I 0.435 0.613 0.644
I35 I 0.644 0.113 0.435
I36 I 0.791 0.856 0.469
I37 I 0.031 0.709 0.144
I38 I 0.887 0.531 0.322
I39 I 0.531 0.887 0.822
I40 I 0.469 0.356 0.791
I41 I 0.613 0.435 0.144
I42 I 0.144 0.209 0.031
I43 I 0.935 0.791 0.322
I44 I 0.969 0.291 0.856
I45 I 0.678 0.709 0.065
I46 I 0.791 0.935 0.822
I47 I 0.356 0.887 0.565
I48 I 0.935 0.144 0.113
Pd1 Pd 0.625 0.375 0.750
Pd2 Pd 0.875 0.125 0.250
Pd3 Pd 0.375 0.625 0.250
Pd4 Pd 0.750 0.875 0.625
Pd5 Pd 0.125 0.250 0.875
Pd6 Pd 0.875 0.750 0.125
Pd7 Pd 0.625 0.250 0.375
Pd8 Pd 0.375 0.750 0.625
Pd9 Pd 0.125 0.875 0.750
Pd10 Pd 0.250 0.625 0.875
Pd11 Pd 0.750 0.375 0.125
Pd12 Pd 0.250 0.125 0.375
Ag1 Ag 0.250 0.375 0.625
Ag2 Ag 0.000 0.000 0.500
Ag3 Ag 0.125 0.375 0.250
Ag4 Ag 0.875 0.250 0.625
Ag5 Ag 0.500 0.500 0.000
Ag6 Ag 0.500 0.000 0.000
Ag7 Ag 0.750 0.625 0.375
Ag8 Ag 0.500 0.000 0.500
Ag9 Ag 0.000 0.500 0.500
Ag10 Ag 0.250 0.875 0.125
Ag11 Ag 0.375 0.250 0.125
Ag12 Ag 0.625 0.875 0.250
Ag13 Ag 0.125 0.750 0.375
Ag14 Ag 0.000 0.500 0.000
Ag15 Ag 0.875 0.625 0.750
Ag16 Ag 0.375 0.125 0.750
Ag17 Ag 0.500 0.500 0.500
Ag18 Ag 0.000 0.000 0.000
Ag19 Ag 0.625 0.750 0.875
Ag20 Ag 0.750 0.125 0.875



# Hf3Se | Alexandria via LeMat-Bulk | PBE | relaxed
# Raw formation energy: -219 kJ/mol of formula units
# Symmetry: Cmcm
data_Hf3Se
_cell_length_a 3.584
_cell_length_b 5.441
_cell_length_c 8.756
_cell_angle_alpha 90.00
_cell_angle_beta 90.00
_cell_angle_gamma 109.23
_space_group_name_H-M_alt 'P 1'
_space_group_IT_number 1
_space_group_name_Hall 'P 1'
loop_
_atom_site_label
_atom_site_type_symbol
_atom_site_fract_x
_atom_site_fract_y
_atom_site_fract_z
Hf1 Hf 0.865 0.730 0.041
Hf2 Hf 0.135 0.270 0.959
Hf3 Hf 0.135 0.270 0.541
Hf4 Hf 0.442 0.884 0.750
Hf5 Hf 0.865 0.730 0.459
Hf6 Hf 0.558 0.116 0.250
Se1 Se 0.728 0.455 0.750
Se2 Se 0.272 0.545 0.250



Number 1: volume 77.1 Å³/cell, DOS at the Fermi energy 1.41 states/eV/atom. Number 2: volume 476.2 Å³/cell, DOS at the Fermi energy 0.51 states/eV/atom. Number 3: volume 129.1 Å³/cell, DOS at the Fermi energy 0.98 states/eV/atom. Number 4: volume 126.6 Å³/cell, DOS at the Fermi energy 1.03 states/eV/atom. Number 5: volume 2843.1 Å³/cell, DOS at the Fermi energy 0.89 states/eV/atom. Number 6: volume 161.2 Å³/cell, DOS at the Fermi energy 0.57 states/eV/atom.